Compound: Ca2PrSb
Source: the Alexandria database
Functional: PBE
Structure: relaxed

a b c (Å): 4.907 4.907 5.209
angles (deg): 90.00 90.00 90.00
Sites, in units of the cell vectors:
Ca (0.000, 0.500, 0.000)
Ca (0.500, 0.000, 0.000)
Pr (0.000, 0.000, 0.500)
Sb (0.500, 0.500, 0.500)

Summary:
Crystal system: tetragonal
E_form (uncorrected), kcal/mol of atoms: -10.93
Symmetry: P4/mmm

---

Compound: Cs2KAlI6
Source: the Alexandria database
Functional: PBE
Structure: relaxed

a b c (Å): 8.411 8.411 8.546
angles (deg): 90.00 90.00 120.00
Sites, in units of the cell vectors:
Cs (0.333, 0.667, 0.341)
Cs (0.667, 0.333, 0.659)
K (0.000, 0.000, 0.000)
Al (0.000, 0.000, 0.500)
I (0.158, 0.315, 0.690)
I (0.158, 0.842, 0.690)
I (0.315, 0.158, 0.310)
I (0.685, 0.842, 0.690)
I (0.842, 0.158, 0.310)
I (0.842, 0.685, 0.310)

Summary:
Distance to the lowest polymorph of the same formula, meV per atom: 0.0
Crystal system: trigonal
E_form (uncorrected), kcal/mol of atoms: -26.65
Symmetry: P-3m1

---

Compound: NpNbP
Source: the Alexandria database
Functional: PBE
Structure: relaxed

a b c (Å): 5.588 5.588 5.588
angles (deg): 145.16 145.16 50.09
Sites, in units of the cell vectors:
Np (0.000, 0.000, 0.000)
Nb (0.707, 0.707, 0.000)
P (0.308, 0.308, 0.000)

Summary:
Crystal system: tetragonal
Symmetry: I4mm
DFT formation energy, meV/atom: -290

---

Compound: Sr6H2Ir
Source: the Alexandria database
Functional: PBE
Structure: relaxed

a b c (Å): 7.215 6.791 14.251
angles (deg): 90.00 120.35 90.00
Sites, in units of the cell vectors:
Sr (0.000, 0.247, 0.168)
Sr (0.000, 0.253, 0.668)
Sr (0.000, 0.747, 0.332)
Sr (0.000, 0.753, 0.832)
Sr (0.337, 0.745, 0.669)
Sr (0.337, 0.755, 0.169)
Sr (0.342, 0.226, 0.000)
Sr (0.342, 0.274, 0.500)
Sr (0.658, 0.726, 0.500)
Sr (0.658, 0.774, 0.000)
Sr (0.663, 0.245, 0.831)
Sr (0.663, 0.255, 0.331)
H (0.342, 0.501, 0.341)
H (0.342, 0.999, 0.841)
H (0.658, 0.001, 0.159)
H (0.658, 0.499, 0.659)
Ir (0.000, 0.000, 0.000)
Ir (0.000, 0.500, 0.500)

Summary:
Crystal system: monoclinic
Symmetry: P2_1/c

---

Compound: Li2La2Hf
Source: the Alexandria database
Functional: PBE
Structure: relaxed

a b c (Å): 8.607 8.607 3.506
angles (deg): 90.00 90.00 90.00
Sites, in units of the cell vectors:
Li (0.101, 0.399, 0.000)
Li (0.399, 0.899, 0.000)
Li (0.601, 0.101, 0.000)
Li (0.899, 0.601, 0.000)
La (0.204, 0.704, 0.500)
La (0.296, 0.204, 0.500)
La (0.704, 0.796, 0.500)
La (0.796, 0.296, 0.500)
Hf (0.000, 0.000, 0.000)
Hf (0.500, 0.500, 0.000)

Summary:
Crystal system: tetragonal
Symmetry: P4/mbm
DFT formation energy, meV/atom: 333

---

Compound: NaAgPb2Br6
Source: the Alexandria database
Functional: PBE
Structure: relaxed

a b c (Å): 7.569 7.581 8.056
angles (deg): 90.06 117.95 119.88
Sites, in units of the cell vectors:
Na (0.000, 0.000, 0.000)
Ag (0.005, 0.502, 0.505)
Pb (0.609, 0.305, 0.914)
Pb (0.609, 0.805, 0.413)
Br (0.099, 0.219, 0.704)
Br (0.100, 0.389, 0.211)
Br (0.485, 0.880, 0.705)
Br (0.498, 0.110, 0.209)
Br (0.822, 0.711, 0.209)
Br (0.826, 0.605, 0.704)

Summary:
Crystal system: triclinic
E_form (uncorrected), kcal/mol of atoms: -21.09
Symmetry: P1

---

Compound: YCd5Rh
Source: the Alexandria database
Functional: PBE
Structure: relaxed

a b c (Å): 4.722 4.722 7.227
angles (deg): 90.00 90.00 90.00
Sites, in units of the cell vectors:
Y (0.000, 0.000, 0.000)
Cd (0.000, 0.500, 0.297)
Cd (0.000, 0.500, 0.703)
Cd (0.500, 0.000, 0.297)
Cd (0.500, 0.000, 0.703)
Cd (0.500, 0.500, 0.000)
Rh (0.000, 0.000, 0.500)

Summary:
Crystal system: tetragonal
Symmetry: P4/mmm
DFT formation energy, meV/atom: -219

---

Compound: NaRhSe2
Source: the Alexandria database
Functional: PBE
Structure: relaxed

a b c (Å): 7.057 7.057 7.057
angles (deg): 31.41 31.41 31.41
Sites, in units of the cell vectors:
Na (0.000, 0.000, 0.000)
Rh (0.167, 0.167, 0.167)
Se (0.562, 0.562, 0.562)
Se (0.771, 0.771, 0.771)

Summary:
Crystal system: trigonal
E_form (uncorrected), kcal/mol of atoms: -15.66
Symmetry: R3m

---

Compound: Ac3Sn3H
Source: the Alexandria database
Functional: PBE
Structure: relaxed

a b c (Å): 7.071 7.071 9.564
angles (deg): 96.12 96.12 111.71
Sites, in units of the cell vectors:
Ac (0.121, 0.473, 0.779)
Ac (0.180, 0.180, 0.378)
Ac (0.473, 0.121, 0.779)
Ac (0.527, 0.879, 0.221)
Ac (0.820, 0.820, 0.622)
Ac (0.879, 0.527, 0.221)
Sn (0.125, 0.875, 0.000)
Sn (0.269, 0.731, 0.500)
Sn (0.354, 0.354, 0.080)
Sn (0.646, 0.646, 0.920)
Sn (0.731, 0.269, 0.500)
Sn (0.875, 0.125, 0.000)
H (0.157, 0.157, 0.644)
H (0.843, 0.843, 0.356)

Summary:
Crystal system: monoclinic
Symmetry: C2/m

---

Compound: Li10Cd6Ag
Source: the Alexandria database
Functional: PBE
Structure: relaxed

a b c (Å): 8.080 8.080 5.703
angles (deg): 90.00 90.00 120.00
Sites, in units of the cell vectors:
Li (0.000, 0.297, 0.332)
Li (0.000, 0.703, 0.668)
Li (0.297, 0.000, 0.332)
Li (0.297, 0.297, 0.668)
Li (0.333, 0.667, 0.000)
Li (0.333, 0.667, 0.500)
Li (0.667, 0.333, 0.000)
Li (0.667, 0.333, 0.500)
Li (0.703, 0.000, 0.668)
Li (0.703, 0.703, 0.332)
Cd (0.000, 0.353, 0.832)
Cd (0.000, 0.647, 0.168)
Cd (0.353, 0.000, 0.832)
Cd (0.353, 0.353, 0.168)
Cd (0.647, 0.000, 0.168)
Cd (0.647, 0.647, 0.832)
Ag (0.000, 0.000, 0.000)

Summary:
Crystal system: trigonal
Symmetry: P-31m
DFT formation energy, meV/atom: -179

---

Compound: NbBi2Au2
Source: the Alexandria database
Functional: PBE
Structure: relaxed

a b c (Å): 9.096 9.096 9.096
angles (deg): 156.11 156.11 34.03
Sites, in units of the cell vectors:
Nb (0.000, 0.000, 0.000)
Bi (0.407, 0.407, 0.000)
Bi (0.593, 0.593, 0.000)
Au (0.250, 0.750, 0.500)
Au (0.750, 0.250, 0.500)

Summary:
Distance to the lowest polymorph of the same formula, meV per atom: 0.0
Crystal system: tetragonal
Symmetry: I4/mmm
DFT formation energy, meV/atom: 275

---

Compound: CaAc5La2Tb
Source: the Alexandria database
Functional: PBE
Structure: relaxed

a b c (Å): 11.724 11.724 11.196
angles (deg): 90.00 90.00 150.47
Sites, in units of the cell vectors:
Ca (0.099, 0.901, 0.500)
Ca (0.901, 0.099, 0.000)
Ac (0.000, 0.000, 0.250)
Ac (0.000, 0.000, 0.750)
Ac (0.129, 0.871, 0.001)
Ac (0.220, 0.780, 0.690)
Ac (0.221, 0.779, 0.312)
Ac (0.496, 0.504, 0.000)
Ac (0.504, 0.496, 0.500)
Ac (0.779, 0.221, 0.812)
Ac (0.780, 0.220, 0.190)
Ac (0.871, 0.129, 0.501)
La (0.384, 0.616, 0.270)
La (0.384, 0.616, 0.731)
La (0.616, 0.384, 0.231)
La (0.616, 0.384, 0.770)
Tb (0.301, 0.699, 0.001)
Tb (0.699, 0.301, 0.501)

Summary:
Crystal system: orthorhombic
Symmetry: Cmc2_1
DFT formation energy, meV/atom: 146

---

What did we get for E? Answer: -14.8 -27.4 -29.3 -55.3 -43.9 -30.8 -19.9 -18.4 -64.1 -30.5 -23.0 -71.4 eV per cell, in the order shown.
What did we get for theoretical density? Answer: 4.5 3.5 10.6 4.0 6.0 5.0 7.8 5.6 7.9 4.4 12.2 7.1 g cm⁻³, in the order shown.
What did we get for size of the total moment? Answer: 0.00 0.00 3.43 0.00 0.00 0.00 0.00 0.00 0.00 0.00 0.93 0.00 μB per formula unit, in the order shown.